! KYReP2 GGA-PBE relaxed; values from VASP
&SYSTEM
  ibrav = 0, nat = 5, ntyp = 4
/
ATOMIC_SPECIES
K 39.10 K.upf
Y 88.91 Y.upf
Re 186.21 Re.upf
P 30.97 P.upf
CELL_PARAMETERS angstrom
4.762 0.000 0.000
0.000 4.762 0.000
0.000 0.000 5.364
ATOMIC_POSITIONS crystal
K 0.000 0.000 0.000
Y 0.500 0.500 0.000
Re 0.500 0.500 0.500
P 0.000 0.500 0.500
P 0.500 0.000 0.500
! Total energy   -29.85 eV/f.u.
! Energy of formation   0.20 eV/atom
! Space-group type   P4/mmm, No. 123